Arrangement i

# Li8PdPt2

Crystalline Li8PdPt2 at its relaxed geometry (PBE, the Alexandria database).

Structure (CIF):
```
data_Li8PdPt2
_symmetry_space_group_name_H-M 'C m m m'
_symmetry_Int_Tables_number 65
_symmetry_space_group_name_Hall '-C 2 2'
_cell_length_a 7.814
_cell_length_b 10.407
_cell_length_c 4.241
_cell_angle_alpha 90.00
_cell_angle_beta 90.00
_cell_angle_gamma 90.00
loop_
_atom_site_label
_atom_site_type_symbol
_atom_site_fract_x
_atom_site_fract_y
_atom_site_fract_z
_atom_site_occupancy
Li1 Li 0.000 0.247 0.000 1
Li2 Li 0.162 0.500 0.000 1
Li3 Li 0.169 0.135 0.500 1
Pd1 Pd 0.000 0.000 0.000 1
Pt1 Pt 0.000 0.373 0.500 1
```

=====

Arrangement ii

# Li8PdPt2

Crystalline Li8PdPt2 at its relaxed geometry (PBE, the Alexandria database).

Structure (CIF):
```
data_Li8PdPt2
_symmetry_space_group_name_H-M 'I m m m'
_symmetry_Int_Tables_number 71
_symmetry_space_group_name_Hall '-I 2 2'
_cell_length_a 4.289
_cell_length_b 7.232
_cell_length_c 10.623
_cell_angle_alpha 90.00
_cell_angle_beta 90.00
_cell_angle_gamma 90.00
loop_
_atom_site_label
_atom_site_type_symbol
_atom_site_fract_x
_atom_site_fract_y
_atom_site_fract_z
_atom_site_occupancy
Li1 Li 0.000 0.000 0.138 1
Li2 Li 0.000 0.198 0.345 1
Li3 Li 0.000 0.324 0.000 1
Pd1 Pd 0.000 0.500 0.500 1
Pt1 Pt 0.000 0.500 0.222 1
```

=====

Computed relative energies in units of meV per atom: arrangement i 18; arrangement ii 0

=====

Arrangement i

# LiPd8Pt6

Crystalline LiPd8Pt6 at its relaxed geometry (PBE, the Alexandria database).

Structure (CIF):
```
data_LiPd8Pt6
_symmetry_space_group_name_H-M 'P -3'
_symmetry_Int_Tables_number 147
_cell_length_a 10.2499
_cell_length_b 10.2499
_cell_length_c 2.7158
_cell_angle_alpha 90.00
_cell_angle_beta 90.00
_cell_angle_gamma 120.00
loop_
_symmetry_equiv_pos_as_xyz
'x,y,z'
'-x,-y,-z'
'-y,x-y,z'
'y,-x+y,-z'
'-x+y,-x,z'
'x-y,x,-z'
loop_
_atom_site_label
_atom_site_type_symbol
_atom_site_fract_x
_atom_site_fract_y
_atom_site_fract_z
_atom_site_occupancy
Li1 Li 0.0000 0.0000 0.0000 1
Pd1 Pd 0.0813 0.8075 0.7425 1
Pd2 Pd 0.3333 0.6667 0.2518 1
Pt1 Pt 0.0851 0.4582 0.7518 1
```

=====

Arrangement ii

# LiPd8Pt6

Crystalline LiPd8Pt6 at its relaxed geometry (PBE, the Alexandria database).

Structure (CIF):
```
data_LiPd8Pt6
_symmetry_space_group_name_H-M 'P -3'
_symmetry_Int_Tables_number 147
_cell_length_a 7.7829
_cell_length_b 7.7829
_cell_length_c 4.8215
_cell_angle_alpha 90.00
_cell_angle_beta 90.00
_cell_angle_gamma 120.00
loop_
_symmetry_equiv_pos_as_xyz
'x,y,z'
'-x,-y,-z'
'-y,x-y,z'
'y,-x+y,-z'
'-x+y,-x,z'
'x-y,x,-z'
loop_
_atom_site_label
_atom_site_type_symbol
_atom_site_fract_x
_atom_site_fract_y
_atom_site_fract_z
_atom_site_occupancy
Li1 Li 0.0000 0.0000 0.0000 1
Pd1 Pd 0.0122 0.6876 0.5731 1
Pd2 Pd 0.3333 0.6667 0.4062 1
Pt1 Pt 0.1356 0.4477 0.9320 1
```

=====

Computed relative energies in units of meV per atom: arrangement i 0; arrangement ii 70

=====

Arrangement i

# Li2Pd4Pt

Crystalline Li2Pd4Pt at its relaxed geometry (PBE, the Alexandria database).

Structure (CIF):
```
data_Li2Pd4Pt
_symmetry_space_group_name_H-M 'P b a m'
_symmetry_Int_Tables_number 55
_cell_length_a 7.856
_cell_length_b 9.036
_cell_length_c 2.851
_cell_angle_alpha 90.00
_cell_angle_beta 90.00
_cell_angle_gamma 90.00
loop_
_symmetry_equiv_pos_as_xyz
'x,y,z'
'-x,-y,-z'
'-x,-y,z'
'x,y,-z'
'x+1/2,-y+1/2,-z'
'-x+1/2,y+1/2,z'
'-x+1/2,y+1/2,-z'
'x+1/2,-y+1/2,z'
loop_
_atom_site_label
_atom_site_type_symbol
_atom_site_fract_x
_atom_site_fract_y
_atom_site_fract_z
_atom_site_occupancy
Li1 Li 0.006 0.249 0.000 1
Pd1 Pd 0.188 0.502 0.000 1
Pd2 Pd 0.244 0.753 0.500 1
Pt1 Pt 0.000 0.000 0.500 1
```

=====

Arrangement ii

# Li2Pd4Pt

Crystalline Li2Pd4Pt at its relaxed geometry (PBE, the Alexandria database).

Structure (CIF):
```
data_Li2Pd4Pt
_symmetry_space_group_name_H-M 'C m m m'
_symmetry_Int_Tables_number 65
_symmetry_space_group_name_Hall '-C 2 2'
_cell_length_a 6.460
_cell_length_b 8.401
_cell_length_c 4.216
_cell_angle_alpha 90.00
_cell_angle_beta 90.00
_cell_angle_gamma 90.00
loop_
_atom_site_label
_atom_site_type_symbol
_atom_site_fract_x
_atom_site_fract_y
_atom_site_fract_z
_atom_site_occupancy
Li1 Li 0.209 0.000 0.000 1
Pd1 Pd 0.000 0.288 0.000 1
Pd2 Pd 0.250 0.250 0.500 1
Pt1 Pt 0.000 0.500 0.500 1
```

=====

Computed relative energies in units of meV per atom: arrangement i 0; arrangement ii 30

=====

Arrangement i

# Li2Pd5Pt

Crystalline Li2Pd5Pt at its relaxed geometry (PBE, the Alexandria database).

Structure (CIF):
```
data_Li2Pd5Pt
_symmetry_space_group_name_H-M 'C m c m'
_symmetry_Int_Tables_number 63
_symmetry_space_group_name_Hall '-C 2c 2'
_cell_length_a 4.165
_cell_length_b 9.169
_cell_length_c 12.499
_cell_angle_alpha 90.00
_cell_angle_beta 90.00
_cell_angle_gamma 90.00
loop_
_atom_site_label
_atom_site_type_symbol
_atom_site_fract_x
_atom_site_fract_y
_atom_site_fract_z
_atom_site_occupancy
Li1 Li 0.000 0.224 0.135 1
Pd1 Pd 0.000 0.061 0.596 1
Pd2 Pd 0.000 0.365 0.545 1
Pd3 Pd 0.000 0.465 0.250 1
Pt1 Pt 0.000 0.253 0.750 1
```

=====

Arrangement ii

# Li2Pd5Pt

Crystalline Li2Pd5Pt at its relaxed geometry (PBE, the Alexandria database).

Structure (CIF):
```
data_Li2Pd5Pt
_symmetry_space_group_name_H-M 'C 1 m 1'
_symmetry_Int_Tables_number 8
_cell_length_a 5.624
_cell_length_b 9.201
_cell_length_c 5.392
_cell_angle_alpha 90.00
_cell_angle_beta 121.43
_cell_angle_gamma 90.00
loop_
_symmetry_equiv_pos_as_xyz
'x,y,z'
'x,-y,z'
'x+1/2,y+1/2,z'
'x+1/2,-y+1/2,z'
loop_
_atom_site_label
_atom_site_type_symbol
_atom_site_fract_x
_atom_site_fract_y
_atom_site_fract_z
_atom_site_occupancy
Li1 Li 0.000 0.250 0.000 1
Pd1 Pd 0.000 0.250 0.500 1
Pd2 Pd 0.250 0.000 0.001 1
Pd3 Pd 0.250 0.000 0.501 1
Pd4 Pd 0.250 0.500 0.001 1
Pt1 Pt 0.250 0.500 0.501 1
```

=====

Computed relative energies in units of meV per atom: arrangement i 119; arrangement ii 0

=====

Arrangement i

# Li6PdPt2

Crystalline Li6PdPt2 at its relaxed geometry (PBE, the Alexandria database).

Structure (CIF):
```
data_Li6PdPt2
_symmetry_space_group_name_H-M 'C 1 2/m 1'
_symmetry_Int_Tables_number 12
_cell_length_a 12.318
_cell_length_b 5.158
_cell_length_c 4.237
_cell_angle_alpha 90.00
_cell_angle_beta 109.82
_cell_angle_gamma 90.00
loop_
_symmetry_equiv_pos_as_xyz
'x,y,z'
'-x,-y,-z'
'-x,y,-z'
'x,-y,z'
'x+1/2,y+1/2,z'
'-x+1/2,-y+1/2,-z'
'-x+1/2,y+1/2,-z'
'x+1/2,-y+1/2,z'
loop_
_atom_site_label
_atom_site_type_symbol
_atom_site_fract_x
_atom_site_fract_y
_atom_site_fract_z
_atom_site_occupancy
Li1 Li 0.110 0.235 0.110 1
Li2 Li 0.216 0.000 0.714 1
Pd1 Pd 0.000 0.000 0.500 1
Pt1 Pt 0.118 0.500 0.618 1
```

=====

Arrangement ii

# Li6PdPt2

Crystalline Li6PdPt2 at its relaxed geometry (PBE, the Alexandria database).

Structure (CIF):
```
data_Li6PdPt2
_symmetry_space_group_name_H-M 'R -3 m'
_symmetry_Int_Tables_number 166
_symmetry_space_group_name_Hall '-R 3 2"'
_cell_length_a 7.2658
_cell_length_b 7.2658
_cell_length_c 8.1117
_cell_angle_alpha 90.00
_cell_angle_beta 90.00
_cell_angle_gamma 120.00
loop_
_atom_site_label
_atom_site_type_symbol
_atom_site_fract_x
_atom_site_fract_y
_atom_site_fract_z
_atom_site_occupancy
Li1 Li 0.0000 0.3327 0.0000 1
Pd1 Pd 0.0000 0.0000 0.5000 1
Pt1 Pt 0.0000 0.0000 0.1663 1
```

=====

Computed relative energies in units of meV per atom: arrangement i 133; arrangement ii 0